# 1
VASP calculation (PBE) on crystalline Na2SmErS4 at its relaxed geometry.

Geometry as extended XYZ:
```
8
Lattice="-3.803 -0.938 -0.872 2.107 -3.095 -5.858 -0.032 -4.750 5.250" Properties=species:S:1:pos:R:3 pbc="T T T"
S 1.573 -3.411 -3.191
S -0.316 -6.510 -0.851
S -1.412 -2.273 -0.629
S 0.501 -4.434 2.582
Er 0.000 0.000 0.000
Sm -0.848 -2.016 -3.365
Na 1.037 -3.922 -0.304
Na -1.918 -2.844 2.189
```

Summary:
volume	187	Å³ per cell
formation energy from raw total energies	-1.831	eV per atom
N(E_F)	0.00	states/eV per cell



# 2
VASP calculation (PBE) on crystalline Na3Er3SnS8 at its relaxed geometry.

Geometry as extended XYZ:
```
15
Lattice="-6.455 -3.827 -2.175 6.307 -3.983 2.327 -4.302 4.100 5.551" Properties=species:S:1:pos:R:3 pbc="T T T"
S -2.790 -3.914 1.136
S -2.713 0.156 1.057
S -6.077 -1.838 -0.076
S 1.627 -1.872 5.779
S -1.660 0.204 4.567
S 0.401 -1.918 2.185
S -4.851 -1.792 3.518
S -1.737 -3.866 4.646
Er -5.378 0.137 1.688
Er 1.002 0.058 3.939
Er -2.225 -1.855 2.851
Na -0.074 -3.905 0.076
Na 3.153 -1.992 1.163
Na 0.000 0.000 0.000
Sn -2.151 2.050 2.776
```

Summary:
volume	358	Å³ per cell
formation energy from raw total energies	-1.542	eV per atom



# 3
VASP calculation (PBE) on crystalline NaSr2ErS4 at its relaxed geometry.

Geometry as extended XYZ:
```
8
Lattice="4.130 0.000 0.000 0.000 7.155 0.197 0.000 -2.448 6.652" Properties=species:S:1:pos:R:3 pbc="T T T"
S 2.065 1.109 1.555
S 2.065 3.599 5.294
S 0.000 -0.171 5.132
S 0.000 4.879 1.716
Na 2.065 3.578 0.098
Sr 2.065 -1.224 3.326
Sr 0.000 2.354 3.424
Er 0.000 0.000 0.000
```

Summary:
volume	199	Å³ per cell
formation energy from raw total energies	-1.940	eV per atom
N(E_F)	0.00	states/eV per cell



# 4
VASP calculation (PBE) on crystalline Na3Er3TaS8 at its relaxed geometry.

Geometry as extended XYZ:
```
15
Lattice="7.701 0.000 0.000 -3.851 6.670 -0.024 0.000 -4.423 6.800" Properties=species:S:1:pos:R:3 pbc="T T T"
Er 1.925 1.123 3.388
Er -1.926 1.124 3.388
Er 3.851 -2.212 3.400
Na 1.925 3.335 -0.012
Na 0.000 0.000 0.000
Na -1.926 3.335 -0.012
S 5.908 -1.182 1.949
S 2.056 3.429 4.826
S 3.850 2.380 1.935
S 3.851 0.018 4.931
S -0.001 2.229 1.844
S 0.000 -0.133 4.840
S 1.794 -1.182 1.949
S -2.058 3.429 4.826
Ta 0.000 -2.211 3.400
```

Summary:
volume	348	Å³ per cell
formation energy from raw total energies	-1.634	eV per atom
N(E_F)	4.05	states/eV per cell



# 5
VASP calculation (PBE) on crystalline Na4TbEr3S8 at its relaxed geometry.

Geometry as extended XYZ:
```
16
Lattice="-0.440 -6.602 -4.365 7.901 0.581 -1.676 -2.369 -0.084 7.564" Properties=species:S:1:pos:R:3 pbc="T T T"
Na 0.000 0.000 0.000
Na -1.184 -0.042 3.782
Na -1.405 -3.343 1.600
Na -0.220 -3.301 -2.182
S 1.791 -4.837 -3.630
S 3.082 -4.541 2.990
S 4.253 -4.516 -0.796
S 2.010 -1.565 -1.466
S 4.474 -1.227 1.404
S 0.617 -4.879 0.119
S 3.300 -1.269 5.153
S 0.838 -1.590 2.320
Tb 3.950 0.290 -0.838
Er 3.730 -3.011 -3.020
Er 2.546 -3.053 0.762
Er 2.766 0.248 2.944
```

Summary:
volume	363	Å³ per cell
formation energy from raw total energies	-1.852	eV per atom
N(E_F)	0.00	states/eV per cell



# 6
VASP calculation (PBE) on crystalline Na3TbEr2S6 at its relaxed geometry.

Geometry as extended XYZ:
```
12
Lattice="6.872 -0.001 0.001 -3.435 5.952 0.001 -1.146 -1.984 6.679" Properties=species:S:1:pos:R:3 pbc="T T T"
Na -2.293 3.969 3.340
Na 4.584 -0.002 3.340
Na 1.146 1.983 3.340
S 0.011 0.019 5.170
S 3.447 1.964 5.173
S 2.313 0.000 1.507
S 2.280 3.948 1.510
S -0.022 3.967 5.173
S -1.156 2.003 1.507
Tb 0.000 0.000 0.000
Er 3.437 1.983 0.001
Er 0.000 3.968 0.001
```

Summary:
volume	273	Å³ per cell
formation energy from raw total energies	-1.851	eV per atom
N(E_F)	0.00	states/eV per cell



# 7
VASP calculation (PBE) on crystalline Na4Tb3ErS8 at its relaxed geometry.

Geometry as extended XYZ:
```
16
Lattice="-4.183 -2.638 6.265 -5.105 -3.827 -5.020 7.828 -1.482 -0.481" Properties=species:S:1:pos:R:3 pbc="T T T"
S 0.892 -6.207 0.547
S -4.462 -3.070 3.377
S 1.563 -2.483 -0.002
S -2.352 -1.740 0.217
S -0.946 -4.129 -2.370
S -0.514 -3.818 3.134
S -3.023 -5.464 0.765
S 3.002 -4.877 -2.613
Na 3.914 -0.741 -0.241
Na 0.000 0.000 0.000
Na -2.092 -1.319 3.132
Na 1.823 -2.060 2.892
Er -2.552 -1.913 -2.510
Tb -0.730 -3.973 0.382
Tb 1.362 -2.655 -2.751
Tb -4.644 -3.232 0.622
```

Summary:
volume	369	Å³ per cell
formation energy from raw total energies	-1.848	eV per atom
N(E_F)	0.00	states/eV per cell



# 8
VASP calculation (PBE) on crystalline NaTbEr4S8 at its relaxed geometry.

Geometry as extended XYZ:
```
14
Lattice="-0.119 4.992 -6.293 -0.624 -2.941 -7.449 -6.826 1.043 -4.172" Properties=species:S:1:pos:R:3 pbc="T T T"
S -5.263 3.968 -9.789
S -2.278 -0.818 -8.149
S -5.537 -0.334 -10.416
S -2.341 1.823 -11.478
S -5.199 1.261 -6.377
S -2.011 3.379 -7.537
S -2.120 0.786 -4.464
S -5.517 2.312 -13.445
Tb -6.738 1.038 -4.177
Na -6.268 1.682 -8.802
Er -1.311 1.412 -9.111
Er -3.504 2.941 -5.199
Er -3.747 -0.882 -5.757
Er -3.447 0.535 -2.167
```

Summary:
volume	369	Å³ per cell
formation energy from raw total energies	-1.959	eV per atom
N(E_F)	0.00	states/eV per cell



# 9
VASP calculation (PBE) on crystalline Na3Tb2ErS6 at its relaxed geometry.

Geometry as extended XYZ:
```
12
Lattice="6.904 -0.001 0.001 -3.451 5.979 0.001 -1.151 -1.993 6.681" Properties=species:S:1:pos:R:3 pbc="T T T"
S -0.011 -0.020 5.169
S 2.279 -0.001 1.515
S 0.022 3.986 5.167
S -1.140 1.974 1.515
S 3.441 2.011 5.167
S 2.313 4.005 1.513
Tb 3.452 1.992 0.001
Tb 0.001 3.986 0.001
Er 0.000 0.000 0.000
Na 4.602 -0.001 3.341
Na -2.301 3.986 3.341
Na 1.151 1.992 3.341
```

Summary:
volume	276	Å³ per cell
formation energy from raw total energies	-1.848	eV per atom
N(E_F)	0.00	states/eV per cell



# 10
VASP calculation (PBE) on crystalline NaTb4Er3S8 at its relaxed geometry.

Geometry as extended XYZ:
```
16
Lattice="7.812 0.000 0.000 0.000 7.822 0.002 -3.906 -3.902 5.526" Properties=species:S:1:pos:R:3 pbc="T T T"
Na 0.000 3.911 0.001
Er -1.953 1.960 2.764
Er 3.906 3.911 0.001
Er 1.953 1.960 2.764
S 5.849 1.977 0.023
S -1.943 1.943 5.504
S 3.906 0.036 2.771
S 0.000 0.036 2.785
S 1.962 1.977 0.023
S 0.000 3.884 2.756
S 1.943 1.943 5.504
S 3.906 3.884 2.742
Tb 0.000 0.000 0.000
Tb 3.906 0.000 0.000
Tb -1.953 -1.951 2.763
Tb 1.953 -1.951 2.763
```

Summary:
volume	338	Å³ per cell
formation energy from raw total energies	-1.944	eV per atom
N(E_F)	8.02	states/eV per cell



# 11
VASP calculation (PBE) on crystalline Na3ErTe3S8 at its relaxed geometry.

Geometry as extended XYZ:
```
15
Lattice="7.720 0.000 0.000 -3.860 7.308 0.201 0.000 -4.636 6.613" Properties=species:S:1:pos:R:3 pbc="T T T"
Te 3.860 -2.318 3.307
Te 1.930 1.336 3.407
Te -1.930 1.336 3.407
S 0.000 0.040 4.831
S 1.981 -1.037 1.953
S 0.000 2.125 1.764
S 3.860 2.632 1.983
S 5.739 -1.037 1.953
S 1.879 3.709 4.862
S -1.879 3.709 4.862
S 3.860 0.547 5.051
Er 0.000 -2.318 3.307
Na -1.930 3.654 0.100
Na 0.000 0.000 0.000
Na 1.930 3.654 0.100
```

Summary:
volume	380	Å³ per cell
formation energy from raw total energies	-0.631	eV per atom
N(E_F)	1.77	states/eV per cell



# 12
VASP calculation (PBE) on crystalline Na3Er2TeS6 at its relaxed geometry.

Geometry as extended XYZ:
```
12
Lattice="6.999 -0.086 0.012 -3.572 6.019 0.012 -1.129 -1.955 6.645" Properties=species:S:1:pos:R:3 pbc="T T T"
Na 4.739 -0.085 3.334
Na 1.149 1.989 3.334
Na -2.442 4.062 3.334
Te 0.000 0.000 0.000
Er -0.082 4.003 0.012
Er 3.509 1.929 0.012
S 3.551 1.873 5.116
S -0.152 4.012 5.116
S 2.292 3.969 1.455
S -1.253 2.105 1.553
S 0.005 0.009 5.213
S 2.449 -0.034 1.553
```

Summary:
volume	278	Å³ per cell
formation energy from raw total energies	-1.278	eV per atom
N(E_F)	4.74	states/eV per cell